Computed, not measured: a geometry-optimized Zr2SCl structure at the PBE level of DFT.

The total magnetization comes out at 0.00 μB/f.u. Its theoretical density is 5.1 Mg/m³. The total energy is -6.4054 eV per atom. As for the uncorrected formation energy: -2.55 eV per formula unit.

The space group is I-42d (No. 122) and the conventional cell measures 7.023, 7.023 and 6.634 Å, with angles of 90.00, 90.00 and 90.00 degrees. The asymmetric unit holds Zr at (0.228, 0.750, 0.125), S at (0.000, 0.000, 0.000) and Cl at (0.000, 0.000, 0.500).


Computed, not measured: a geometry-optimized Hf3In2Ag2 structure at the PBE level of DFT.

The total magnetization comes out at 0.00 μB/f.u. Its theoretical density is 11.2 Mg/m³. The total energy is -5.9168 eV per atom. Its formation energy from the elements is -0.05 eV per atom.

The space group is C2/m (No. 12) and the conventional cell measures 11.887, 3.223 and 7.814 Å, with angles of 90.00, 103.45 and 90.00 degrees. The asymmetric unit holds Hf at (0.000, 0.000, 0.000), Hf at (0.146, 0.000, 0.405), In at (0.089, 0.500, 0.711) and Ag at (0.209, 0.500, 0.126).


Computed, not measured: a geometry-optimized Ag5TeSe structure at the PBE level of DFT.

The total magnetization comes out at 0.00 μB/f.u. Its theoretical density is 8.3 Mg/m³. The total energy is -2.9171 eV per atom. As for the uncorrected formation energy: 0.46 eV per formula unit.

The space group is C2/c (No. 15) and the conventional cell measures 7.373, 7.101 and 11.489 Å, with angles of 90.00, 97.47 and 90.00 degrees. The asymmetric unit holds Ag at (0.000, 0.018, 0.250), Ag at (0.150, 0.387, 0.560), Ag at (0.215, 0.279, 0.873), Te at (0.000, 0.427, 0.250) and Se at (0.000, 0.000, 0.000).


Computed, not measured: a geometry-optimized La2Nb2In structure at the PBE level of DFT.

The total magnetization comes out at 0.00 μB/f.u. Its theoretical density is 7.3 Mg/m³. The total energy is -6.4220 eV per atom. Its formation energy from the elements is 0.12 eV per atom.

The space group is P4/mbm (No. 127) and the conventional cell measures 7.547, 7.547 and 4.622 Å, with angles of 90.00, 90.00 and 90.00 degrees. The asymmetric unit holds La at (0.184, 0.316, 0.000), Nb at (0.122, 0.622, 0.500) and In at (0.000, 0.000, 0.500).


Computed, not measured: a geometry-optimized ErAl3Co structure at the PBE level of DFT.

The total magnetization comes out at 0.00 μB/f.u. Its theoretical density is 5.6 Mg/m³. The total energy is -4.8998 eV per atom. Its formation energy from the elements is -0.32 eV per atom.

The space group is Pm-3m (No. 221) and the conventional cell measures 4.495, 4.495 and 4.495 Å, with angles of 90.00, 90.00 and 90.00 degrees. The asymmetric unit holds Er at (0.000, 0.000, 0.000), Al at (0.000, 0.500, 0.500) and Co at (0.500, 0.500, 0.500).


Computed, not measured: a geometry-optimized Ca4MnP structure at the PBE level of DFT.

The total magnetization comes out at 3.46 μB/f.u. Its theoretical density is 2.2 Mg/m³. The total energy is -3.0926 eV per atom. Its formation energy from the elements is 0.67 eV per atom.

The space group is F-43m (No. 216) and the conventional cell measures 9.099, 9.099 and 9.099 Å, with angles of 90.00, 90.00 and 90.00 degrees. The asymmetric unit holds Ca at (0.125, 0.125, 0.125), Mn at (0.250, 0.250, 0.750) and P at (0.000, 0.000, 0.500).


Computed, not measured: a geometry-optimized SiCO2 structure at the PBE level of DFT.

The total magnetization comes out at 2.00 μB/f.u. Its theoretical density is 2.3 Mg/m³. The total energy is -6.3354 eV per atom. As for the uncorrected formation energy: -0.78 eV per formula unit.

The space group is Fd-3m (No. 227, origin choice 2) and the conventional cell measures 7.477, 7.477 and 7.477 Å, with angles of 90.00, 90.00 and 90.00 degrees. The asymmetric unit holds Si at (0.125, 0.125, 0.125), C at (0.125, 0.125, 0.625) and O at (0.000, 0.000, 0.000).


Computed, not measured: a geometry-optimized AlHgW2 structure at the PBE level of DFT.

The total magnetization comes out at 0.00 μB/f.u. Its theoretical density is 14.6 Mg/m³. The total energy is -7.0361 eV per atom. Its formation energy from the elements is 0.45 eV per atom.

The space group is P2/m (No. 10) and the conventional cell measures 2.797, 4.450 and 5.599 Å, with angles of 90.00, 103.34 and 90.00 degrees. The asymmetric unit holds Al at (0.000, 0.000, 0.000), Hg at (0.000, 0.000, 0.500) and W at (0.482, 0.500, 0.225).


Computed, not measured: a geometry-optimized Y2ScPaN4 structure at the PBE level of DFT.

The total magnetization comes out at 0.00 μB/f.u. Its theoretical density is 7.5 Mg/m³. The total energy is -9.4706 eV per atom. As for the uncorrected formation energy: -13.71 eV per formula unit.

The space group is P2/m (No. 10) and the conventional cell measures 5.877, 3.446 and 5.925 Å, with angles of 90.00, 108.93 and 90.00 degrees. The asymmetric unit holds Y at (0.000, 0.000, 0.000), Y at (0.500, 0.500, 0.000), Sc at (0.000, 0.500, 0.500), Pa at (0.500, 0.000, 0.500), N at (0.247, 0.000, 0.731) and N at (0.250, 0.500, 0.265).


Computed, not measured: a geometry-optimized NbFe3Si structure at the PBE level of DFT.

The total magnetization comes out at 1.07 μB/f.u. Its theoretical density is 7.0 Mg/m³. The total energy is -7.6572 eV per atom. As for the uncorrected formation energy: 2.59 eV per formula unit.

The space group is Pm-3m (No. 221) and the conventional cell measures 4.100, 4.100 and 4.100 Å, with angles of 90.00, 90.00 and 90.00 degrees. The asymmetric unit holds Nb at (0.000, 0.000, 0.000), Fe at (0.000, 0.500, 0.500) and Si at (0.500, 0.500, 0.500).


Computed, not measured: a geometry-optimized TaTe2Br6 structure at the PBE level of DFT.

The total magnetization comes out at 0.00 μB/f.u. Its theoretical density is 4.0 Mg/m³. The total energy is -3.7896 eV per atom. As for the uncorrected formation energy: -5.93 eV per formula unit.

The space group is P-1 (No. 2) and the conventional cell measures 7.883, 7.924 and 12.969 Å, with angles of 78.24, 80.38 and 77.88 degrees. The asymmetric unit holds Ta at (0.165, 0.149, 0.212), Te at (0.300, 0.689, 0.516), Te at (0.391, 0.350, 0.617), Br at (0.031, 0.034, 0.654), Br at (0.031, 0.408, 0.320), Br at (0.061, 0.749, 0.907), Br at (0.314, 0.894, 0.130), Br at (0.364, 0.345, 0.108) and Br at (0.388, 0.058, 0.356).


Computed, not measured: a geometry-optimized Nb3AsO structure at the PBE level of DFT.

The total magnetization comes out at 0.00 μB/f.u. Its theoretical density is 8.1 Mg/m³. The total energy is -8.6534 eV per atom. As for the uncorrected formation energy: -3.45 eV per formula unit.

The space group is Pm-3m (No. 221) and the conventional cell measures 4.239, 4.239 and 4.239 Å, with angles of 90.00, 90.00 and 90.00 degrees. The asymmetric unit holds Nb at (0.000, 0.000, 0.500), As at (0.500, 0.500, 0.500) and O at (0.000, 0.000, 0.000).


> Among the records above, which one has the lowest theoretical density?

Ca4MnP


> Which of these has the lowest theoretical density?

Ca4MnP


> The lowest theoretical density belongs to which entry?

Ca4MnP


> Which value of theoretical density does entry 1 give?

5.1 Mg/m³